Record 1
DFT (PBE) results for an optimized crystal structure of CrSiSn3.

Its uncorrected energy is -4.591 eV per atom. As for the energy relative to the elements, uncorrected: 0.820 eV per atom. Its density of states at the Fermi level is 3.096 states/eV per cell. As for the volume: 27.83 Å³/atom. The value obtained for the distance to the lowest polymorph of the same formula is 194.6 meV/atom.

The space group is Pm-3m (No. 221) and the conventional cell measures 5.1822, 5.1822 and 5.1822 Å, with angles of 90.00, 90.00 and 90.00 degrees. The distinct sites, in fractional coordinates, are Cr at (0.0000, 0.0000, 0.0000), Si at (0.5000, 0.5000, 0.5000) and Sn at (0.0000, 0.5000, 0.5000).

---

Record 2
DFT (PBE) results for an optimized crystal structure of Ce2HoCd.

The calculated formation energy is 0.00 eV per atom. Its uncorrected energy is -4.336 eV per atom. Its density of states at the Fermi level is 10.456 states/eV per cell. As for the volume: 28.01 Å³/atom. The value obtained for the distance to the lowest polymorph of the same formula is 29.3 meV/atom.

The space group is P4/mmm (No. 123) and the conventional cell measures 3.3039, 3.3039 and 10.2657 Å, with angles of 90.00, 90.00 and 90.00 degrees. The distinct sites, in fractional coordinates, are Ce at (0.0000, 0.0000, 0.2371), Ho at (0.5000, 0.5000, 0.5000) and Cd at (0.5000, 0.5000, 0.0000).